Entry from the Alexandria database: a relaxed Mg2MnCu2 crystal (PBE).

abc: 7.353 7.353 2.716
angles: 90.00 90.00 90.00
Each line ends with the local moment (μB).
Fractional positions:
1 Cu 0.656 0.844 0.500  0.00
2 Mn 0.500 0.500 0.000  -0.31
3 Cu 0.844 0.344 0.500  0.00
4 Mg 0.856 0.644 0.000  0.01
5 Cu 0.344 0.156 0.500  0.00
6 Cu 0.156 0.656 0.500  0.00
7 Mg 0.644 0.144 0.000  0.01
8 Mg 0.356 0.856 0.000  0.01
9 Mg 0.144 0.356 0.000  0.01
10 Mn 0.000 0.000 0.000  -0.31

Computed properties:
ΔE_f in eV per atom: 0.48
Magnetic moment in μB per cell: 0.5
Crystal system: tetragonal
Energy above the most stable polymorph in this dataset in eV/atom: 0.081